# 1
VASP calculation (PBE) on a relaxed PmIn3Ag2 crystal.

Lattice parameters (Å, degrees): 8.7570 8.7570 8.7570 148.74 122.69 66.74
Fractional coordinates of all 12 atoms:
Pm 0.1275 0.1275 0.0000
Pm 0.8725 0.8725 0.0000
In 0.1215 0.3256 0.7960
In 0.3357 0.0000 0.3357
In 0.4704 0.6744 0.7960
In 0.5296 0.3256 0.2040
In 0.6643 0.0000 0.6643
In 0.8785 0.6744 0.2040
Ag 0.1614 0.5000 0.6614
Ag 0.3015 0.8015 0.5000
Ag 0.6985 0.1985 0.5000
Ag 0.8386 0.5000 0.3386

Results
Space-group type ... Immm (71)
ΔE_f ... -1.46 eV/f.u.
Crystal system ... orthorhombic

# 2
VASP calculation (PBE) on a relaxed Pm2InAg3 crystal.

Lattice parameters (Å, degrees): 9.4232 9.4232 9.4232 156.71 152.24 36.54
Fractional coordinates of all 6 atoms:
Pm 0.0000 0.0000 0.0000
Pm 0.7556 0.2556 0.5000
In 0.5901 0.5901 0.0000
Ag 0.1735 0.6735 0.5000
Ag 0.3262 0.8262 0.5000
Ag 0.4335 0.4335 0.0000

Results
Space-group type ... Imm2 (44)
ΔE_f ... -1.35 eV/f.u.
Crystal system ... orthorhombic
E above lowest polymorph ... 94 meV/atom

# 3
VASP calculation (PBE) on a relaxed Pm4InAg3 crystal.

Lattice parameters (Å, degrees): 3.7561 5.3506 10.6143 90.00 90.00 90.00
Fractional coordinates of all 8 atoms:
Pm 0.0000 0.0000 0.0000
Pm 0.0000 0.0000 0.5000
Pm 0.0000 0.5000 0.2446
Pm 0.0000 0.5000 0.7554
In 0.5000 0.5000 0.5000
Ag 0.5000 0.0000 0.2522
Ag 0.5000 0.0000 0.7478
Ag 0.5000 0.5000 0.0000

Results
Space-group type ... Pmmm (47)
ΔE_f ... -2.54 eV/f.u.
Crystal system ... orthorhombic

# 4
VASP calculation (PBE) on a relaxed Pm4InAg7 crystal.

Lattice parameters (Å, degrees): 7.8533 7.8533 9.1852 119.20 119.20 38.40
Fractional coordinates of all 12 atoms:
Pm 0.0596 0.0596 0.2359
Pm 0.2310 0.2310 0.7448
Pm 0.7690 0.7690 0.2552
Pm 0.9404 0.9404 0.7641
In 0.5000 0.5000 0.5000
Ag 0.0000 0.0000 0.5000
Ag 0.1859 0.1859 0.0455
Ag 0.3018 0.3018 0.4883
Ag 0.4099 0.4099 0.1266
Ag 0.5901 0.5901 0.8734
Ag 0.6982 0.6982 0.5117
Ag 0.8141 0.8141 0.9545

Results
Space-group type ... C2/m (12)
ΔE_f ... -1.69 eV/f.u.
Crystal system ... monoclinic